The following is a PBE calculation of an optimized crystal structure of TlGa2Cl, from the Alexandria database.

Unit cell a=5.1622 b=5.1622 c=5.1622 alpha=60.00 beta=60.00 gamma=60.00
Last column: nearest neighbours and their distance in Å.
Atoms (fractional coordinates):
Tl1 0.5000 0.5000 0.5000  8 Ga 3.16
Ga1 0.2500 0.2500 0.2500  4 Tl 3.16, 4 Cl 3.16
Ga2 0.7500 0.7500 0.7500  4 Cl 3.16, 4 Tl 3.16
Cl1 0.0000 0.0000 0.0000  8 Ga 3.16

As for the uncorrected formation energy: -0.0349 eV/atom. As for the total energy: -10.41 eV/cell. For the relative energy among the computed polymorphs, the calculation gives 0 meV/atom. Its space-group type is Fm-3m.